# LiCu4NiGe2 PBE relaxed
# Density (g/cm³): 7.7
# M_tot (Bohr magnetons per cell): 0.004
# E (eV/atom): -4.031
data_LiCu4NiGe2
_symmetry_space_group_name_H-M 'P 1'
_symmetry_Int_Tables_number 1
_cell_length_a 4.138
_cell_length_b 4.138
_cell_length_c 5.855
_cell_angle_alpha 90.00
_cell_angle_beta 90.00
_cell_angle_gamma 90.00
loop_
_symmetry_equiv_pos_as_xyz
'x,y,z'
loop_
_atom_site_label
_atom_site_fract_x
_atom_site_fract_y
_atom_site_fract_z
Cu1 0.500 0.000 0.249
Cu2 0.000 0.500 0.249
Cu3 0.500 0.000 0.751
Cu4 0.000 0.500 0.751
Ge1 0.000 0.000 0.000
Ge2 0.500 0.500 0.500
Li1 0.500 0.500 0.000
Ni1 0.000 0.000 0.500